Computed, not measured: an optimized crystal structure of EuDyTlZn at the PBE-GGA level of DFT.

CIF file:
```
data_EuDyTlZn
_space_group_name_H-M_alt 'F -4 3 m'
_space_group_IT_number 216
_space_group_name_Hall 'F -4 2 3'
_cell_length_a 7.564
_cell_length_b 7.564
_cell_length_c 7.564
_cell_angle_alpha 90.00
_cell_angle_beta 90.00
_cell_angle_gamma 90.00
loop_
_atom_site_label
_atom_site_fract_x
_atom_site_fract_y
_atom_site_fract_z
_atom_site_occupancy
Eu1 0.000 0.000 0.000 1
Dy1 0.000 0.000 0.500 1
Tl1 0.250 0.250 0.750 1
Zn1 0.250 0.250 0.250 1
```

Calculated values
The value obtained for the calculated formation energy is -308.6 meV per atom. The calculation puts the volume at 27.0 Å³/atom. For the total magnetization, the calculation gives 7.27 μB/f.u. The calculated density is 9.0 Mg/m³.


Computed, not measured: an optimized crystal structure of Li3Zn2Ag7 at the PBE-GGA level of DFT.

CIF file:
```
data_Li3Zn2Ag7
_space_group_name_H-M_alt 'P -1'
_space_group_IT_number 2
_cell_length_a 4.755
_cell_length_b 4.765
_cell_length_c 9.381
_cell_angle_alpha 100.63
_cell_angle_beta 101.06
_cell_angle_gamma 103.04
loop_
_space_group_symop_operation_xyz
'x,y,z'
'-x,-y,-z'
loop_
_atom_site_label
_atom_site_fract_x
_atom_site_fract_y
_atom_site_fract_z
_atom_site_occupancy
Li1 0.000 0.000 0.000 1
Li2 0.172 0.172 0.344 1
Zn1 0.334 0.335 0.669 1
Ag1 0.086 0.586 0.174 1
Ag2 0.250 0.750 0.501 1
Ag3 0.414 0.915 0.827 1
Ag4 0.500 0.500 0.000 1
```

Calculated values
The calculation puts the polymorph energy (0 for the lowest one) at 0 meV per atom. The value obtained for the calculated formation energy is -144.2 meV per atom. The calculation puts the volume at 16.4 Å³/atom. For the total magnetization, the calculation gives 0.00 μB/f.u. The calculated density is 7.6 Mg/m³.


- Which value of calculated formation energy does entry 2 give?
  -144.2 meV per atom


- Look up the total magnetization of the first one.
  7.27 μB/f.u.